# NaLa2Cr

A relaxed structure of NaLa2Cr (PBE, the Alexandria database).

N(E_F)	1.1419	states/eV per atom
M_tot	0.00	μB per cell

a b c (Å): 7.6097 7.6097 7.2255
angles (deg): 58.22 58.22 90.00
With the nearest neighbours (Å) after each atom.
Atoms (fractional coordinates):
Cr  0.7500  0.2500  0.5000  4 La 2.39
Cr  0.0000  0.0000  0.0000  4 La 2.39
La  0.7688  0.1250  0.2500  2 Cr 2.39
La  0.3750  0.2312  0.7500  2 Cr 2.39
La  0.9812  0.6250  0.2500  2 Cr 2.39
La  0.8750  0.0188  0.7500  2 Cr 2.39
Na  0.5000  0.5000  0.0000  8 La 3.75-4.17
Na  0.2500  0.7500  0.5000  8 La 3.75-4.17

***

# HoTh2InC

A relaxed structure of HoTh2InC (PBE, the Alexandria database).

N(E_F)	0.5244	states/eV per atom
M_tot	0.00	μB per cell

a b c (Å): 4.9538 5.0768 5.0768
angles (deg): 90.00 90.00 90.00
With the nearest neighbours (Å) after each atom.
Atoms (fractional coordinates):
C  0.0000  0.0000  0.0000  2 Ho 2.48, 4 Th 2.54
Th  0.0000  0.0000  0.5000  2 C 2.54
Th  0.0000  0.5000  0.0000  2 C 2.54
In  0.5000  0.5000  0.5000  8 Th 3.55, 4 Ho 3.59
Ho  0.5000  0.0000  0.0000  2 C 2.48

***

Number 1: total DFT energy (no corrections) -4.5283 eV per atom. Number 2: total DFT energy (no corrections) -6.6371 eV per atom.